Crystalline Ac2PaCd at its relaxed geometry. Source: Alexandria, functional PBE.

Energy above the lowest structure with this stoichiometry ... 328 meV/atom
Formation energy ... 0.458 eV per atom
D(E_F) ... 18.49 states/eV per cell

Cell: 3.5154 3.5154 37.7093 Å, 90.00 90.00 120.00°
With the nearest neighbours (Å) after each atom.
Space group R-3m (No. 166, hexagonal axes)
Unique sites:
Ac (0.0000, 0.0000, 0.0898) (multiplicity 6)  1 Pa 3.39, 6 Ac 3.52, 3 Cd 3.54
Pa (0.0000, 0.0000, 0.0000) (multiplicity 3)  2 Ac 3.39, 6 Pa 3.52
Cd (0.0000, 0.0000, 0.5000) (multiplicity 3)  6 Cd 3.52, 6 Ac 3.54

Crystalline AcPaCd2 at its relaxed geometry. Source: Alexandria, functional PBE.

Formation energy ... 0.445 eV per atom
D(E_F) ... 16.82 states/eV per cell

Cell: 3.3366 3.3366 37.4089 Å, 90.00 90.00 120.00°
With the nearest neighbours (Å) after each atom.
Space group R-3m (No. 166, hexagonal axes)
Unique sites:
Ac (0.0000, 0.0000, 0.0000) (multiplicity 3)  6 Ac 3.34, 6 Cd 3.57
Pa (0.0000, 0.0000, 0.5000) (multiplicity 3)  2 Cd 3.23, 6 Pa 3.34
Cd (0.0000, 0.0000, 0.4137) (multiplicity 6)  1 Pa 3.23, 6 Cd 3.34, 3 Ac 3.57

Crystalline Ac2PaCdPd6 at its relaxed geometry. Source: Alexandria, functional PBE.

Formation energy ... -0.233 eV per atom
D(E_F) ... 36.77 states/eV per cell

Cell: 10.1937 10.1937 10.1937 Å, 90.00 90.00 90.00°
With the nearest neighbours (Å) after each atom.
Space group Fm-3m (No. 225)
Unique sites:
Ac (0.2500, 0.2500, 0.2500) (multiplicity 8)  12 Pd 3.60
Pa (0.0000, 0.0000, 0.0000) (multiplicity 4)  6 Pd 2.52
Cd (0.0000, 0.0000, 0.5000) (multiplicity 4)  6 Pd 2.57
Pd (0.0000, 0.0000, 0.2475) (multiplicity 24)  1 Pa 2.52, 1 Cd 2.57

Crystalline AcCd4Pb at its relaxed geometry. Source: Alexandria, functional PBE.

Energy above the lowest structure with this stoichiometry ... 34 meV/atom
Formation energy ... -0.179 eV per atom
D(E_F) ... 9.44 states/eV per cell

Cell: 4.8237 18.3147 7.6013 Å, 90.00 90.00 90.00°
With the nearest neighbours (Å) after each atom.
Space group Cmcm (No. 63)
Unique sites:
Ac (0.0000, 0.1221, 0.2500) (multiplicity 4)  5 Cd 3.31-3.41, 2 Pb 3.64
Cd (0.0000, 0.0585, 0.7500) (multiplicity 4)  1 Pb 3.13, 8 Cd 3.25-3.37, 1 Ac 3.31
Cd (0.0000, 0.3411, 0.0552) (multiplicity 8)  2 Cd 2.94-2.96, 3 Pb 3.10-3.11
Cd (0.0000, 0.5000, 0.0000) (multiplicity 4)  6 Cd 2.94-3.25
Pb (0.0000, 0.2292, 0.7500) (multiplicity 4)  7 Cd 3.10-3.13

Crystalline AcCdPb2 at its relaxed geometry. Source: Alexandria, functional PBE.

Formation energy ... -0.218 eV per atom
D(E_F) ... 5.48 states/eV per cell

Cell: 5.1948 5.1948 16.4294 Å, 90.00 90.00 120.00°
With the nearest neighbours (Å) after each atom.
Space group R-3m (No. 166, hexagonal axes)
Unique sites:
Ac (0.0000, 0.0000, 0.0000) (multiplicity 3)  8 Pb 3.45-3.77
Cd (0.0000, 0.0000, 0.5000) (multiplicity 3)  6 Pb 3.17
Pb (0.0000, 0.0000, 0.2295) (multiplicity 6)  3 Cd 3.17, 3 Ac 3.45

Crystalline AcCd4Pb at its relaxed geometry. Source: Alexandria, functional PBE.

Energy above the lowest structure with this stoichiometry ... 37 meV/atom
Formation energy ... -0.175 eV per atom
D(E_F) ... 5.64 states/eV per cell

Cell: 8.7102 8.7102 8.7102 Å, 90.00 90.00 90.00°
With the nearest neighbours (Å) after each atom.
Space group F-43m (No. 216)
Unique sites:
Ac (0.0000, 0.0000, 0.0000) (multiplicity 4)  12 Cd 3.61, 4 Pb 3.77
Cd (0.1244, 0.1244, 0.3756) (multiplicity 16)  6 Cd 3.06-3.09
Pb (0.2500, 0.2500, 0.7500) (multiplicity 4)  12 Cd 3.61, 4 Ac 3.77

| no. | total magnetization (μB per atom) |
| --- | --- |
| 1 | 0.00 |
| 2 | 0.08 |
| 3 | 0.00 |
| 4 | 0.00 |
| 5 | 0.00 |
| 6 | 0.00 |